Entry from the Alexandria database: a relaxed ZnFe5O7 crystal (PBE+U).

Cell and atoms, written as POSCAR:
```
ZnFe5O7
1.0
5.3074 0.0012 0.0000
-4.4710 2.8597 0.0000
0.0000 0.0000 18.3665
Zn Fe O
2 10 14
Direct
0.2276 0.7724 0.7500
0.7724 0.2276 0.2500
0.7340 0.2660 0.5779
0.5238 0.4762 0.1619
0.0000 0.0000 0.5000
0.0000 0.0000 0.0000
0.4762 0.5238 0.8381
0.2660 0.7340 0.4221
0.2660 0.7340 0.0779
0.7340 0.2660 0.9221
0.4762 0.5238 0.6619
0.5238 0.4762 0.3381
0.3507 0.6493 0.9663
0.6493 0.3507 0.0337
0.6493 0.3507 0.4663
0.3507 0.6493 0.5337
0.8269 0.1731 0.8292
0.1731 0.8269 0.1708
0.1731 0.8269 0.3292
0.8269 0.1731 0.6708
0.0997 0.9003 0.9013
0.9003 0.0997 0.0987
0.9003 0.0997 0.4013
0.0997 0.9003 0.5987
0.5890 0.4110 0.7500
0.4110 0.5890 0.2500
```

Summary:
Calculated total energy = -6.284 eV/atom
Space-group type = Cmcm, No. 63
Calculated density = 5.438 g/cm³
Total magnetic moment = 22.0 μB/f.u.